(1)
First-principles (PBE) data for a relaxed UNiPt crystal, as listed in Alexandria.

Size of the total moment (μB per cell): 0.0
SG: P-6m2
Energy of formation from the pure elements (eV per atom): -0.422

```
UNiPt
1.0
4.453 0.000 0.000
-2.227 3.857 0.000
0.000 0.000 2.955
U Ni Pt
1 1 1
direct
0.000 0.000 0.000
0.667 0.333 0.500
0.333 0.667 0.500
```


(2)
First-principles (PBE) data for a relaxed UNi2Pt8 crystal, as listed in Alexandria.

Size of the total moment (μB per cell): 0.8
SG: C2/m
Energy of formation from the pure elements (eV per atom): -0.314

```
UNi2Pt8
1.0
7.055 -2.037 0.000
7.055 2.037 0.000
-1.879 0.000 6.029
U Ni Pt
1 2 8
direct
0.000 0.000 0.000
0.275 0.275 0.362
0.725 0.725 0.638
0.101 0.101 0.457
0.183 0.183 0.923
0.357 0.357 0.798
0.452 0.452 0.273
0.548 0.548 0.727
0.643 0.643 0.202
0.817 0.817 0.077
0.899 0.899 0.543
```


(3)
First-principles (PBE) data for a relaxed UNiPt crystal, as listed in Alexandria.

Size of the total moment (μB per cell): 2.8
SG: C2/m
Energy of formation from the pure elements (eV per atom): -0.452

```
UNiPt
1.0
4.818 -2.182 0.000
4.818 2.182 0.000
-3.238 0.000 4.886
U Ni Pt
2 2 2
direct
0.042 0.042 0.297
0.958 0.958 0.703
0.350 0.350 0.335
0.650 0.650 0.665
0.326 0.326 0.858
0.674 0.674 0.142
```


(4)
First-principles (PBE) data for a relaxed UNi2Pt2 crystal, as listed in Alexandria.

Size of the total moment (μB per cell): 1.1
SG: Cmmm
Energy of formation from the pure elements (eV per atom): -0.261

```
UNi2Pt2
1.0
2.353 -3.289 0.000
2.353 3.289 0.000
0.000 0.000 5.417
U Ni Pt
1 2 2
direct
0.000 0.000 0.000
0.172 0.828 0.500
0.828 0.172 0.500
0.500 0.500 0.253
0.500 0.500 0.747
```


(5)
First-principles (PBE) data for a relaxed UNi6Pt crystal, as listed in Alexandria.

Size of the total moment (μB per cell): 0.0
SG: P4/mmm
Energy of formation from the pure elements (eV per atom): -0.202

```
UNi6Pt
1.0
5.235 0.000 0.000
0.000 5.235 0.000
0.000 0.000 3.759
U Ni Pt
1 6 1
direct
0.000 0.000 0.000
0.000 0.500 0.000
0.250 0.250 0.500
0.250 0.750 0.500
0.500 0.000 0.000
0.750 0.250 0.500
0.750 0.750 0.500
0.500 0.500 0.000
```


(6)
First-principles (PBE) data for a relaxed U2Ni3Pt8 crystal, as listed in Alexandria.

Size of the total moment (μB per cell): 1.0
SG: C2/m
Energy of formation from the pure elements (eV per atom): -0.301

```
U2Ni3Pt8
1.0
5.602 -3.546 0.000
5.602 3.546 0.000
-1.240 0.000 5.556
U Ni Pt
2 3 8
direct
0.219 0.219 0.294
0.781 0.781 0.706
0.000 0.000 0.000
0.179 0.821 0.500
0.821 0.179 0.500
0.187 0.187 0.743
0.187 0.578 0.039
0.418 0.418 0.636
0.422 0.813 0.961
0.578 0.187 0.039
0.582 0.582 0.364
0.813 0.422 0.961
0.813 0.813 0.257
```


(7)
First-principles (PBE) data for a relaxed UNi4Pt3 crystal, as listed in Alexandria.

Size of the total moment (μB per cell): 0.0
SG: Pmma
Energy of formation from the pure elements (eV per atom): -0.312

```
UNi4Pt3
1.0
8.800 0.000 0.000
0.000 5.591 0.000
0.000 0.000 4.633
U Ni Pt
2 8 6
direct
0.000 0.000 0.000
0.500 0.000 0.000
0.000 0.257 0.500
0.000 0.743 0.500
0.250 0.262 0.153
0.250 0.738 0.153
0.500 0.257 0.500
0.500 0.743 0.500
0.750 0.262 0.847
0.750 0.738 0.847
0.000 0.500 0.000
0.250 0.000 0.614
0.250 0.500 0.651
0.500 0.500 0.000
0.750 0.000 0.386
0.750 0.500 0.349
```


(8)
First-principles (PBE) data for a relaxed UNi2Pt6 crystal, as listed in Alexandria.

Size of the total moment (μB per cell): 0.0
SG: C2/m
Energy of formation from the pure elements (eV per atom): -0.332

```
UNi2Pt6
1.0
4.493 -2.005 0.000
4.493 2.005 0.000
-2.797 0.000 7.841
U Ni Pt
1 2 6
direct
0.000 0.000 0.000
0.329 0.329 0.777
0.671 0.671 0.223
0.007 0.007 0.327
0.335 0.335 0.448
0.337 0.337 0.115
0.663 0.663 0.885
0.665 0.665 0.552
0.993 0.993 0.673
```


(9)
First-principles (PBE) data for a relaxed U2Ni9Pt crystal, as listed in Alexandria.

Size of the total moment (μB per cell): 2.5
SG: R-3m
Energy of formation from the pure elements (eV per atom): -0.141

```
U2Ni9Pt
1.0
2.413 1.393 7.983
-2.413 1.393 7.983
0.000 -2.787 7.983
U Ni Pt
2 9 1
direct
0.134 0.134 0.134
0.866 0.866 0.866
0.081 0.584 0.584
0.333 0.333 0.333
0.416 0.416 0.919
0.416 0.919 0.416
0.500 0.500 0.500
0.584 0.081 0.584
0.584 0.584 0.081
0.667 0.667 0.667
0.919 0.416 0.416
0.000 0.000 0.000
```


(10)
First-principles (PBE) data for a relaxed UNi2Pt4 crystal, as listed in Alexandria.

Size of the total moment (μB per cell): 0.3
SG: Immm
Energy of formation from the pure elements (eV per atom): -0.397

```
UNi2Pt4
1.0
-2.603 3.286 3.294
2.603 -3.286 3.294
2.603 3.286 -3.294
U Ni Pt
1 2 4
direct
0.000 0.000 0.000
0.500 0.250 0.750
0.500 0.750 0.250
0.000 0.295 0.706
0.000 0.705 0.294
0.411 0.705 0.706
0.589 0.295 0.294
```


(11)
First-principles (PBE) data for a relaxed UNiPt2 crystal, as listed in Alexandria.

Size of the total moment (μB per cell): 1.5
SG: I4/mmm
Energy of formation from the pure elements (eV per atom): -0.524

```
UNiPt2
1.0
-2.013 2.013 4.191
2.013 -2.013 4.191
2.013 2.013 -4.191
U Ni Pt
1 1 2
direct
0.000 0.000 0.000
0.500 0.500 0.000
0.250 0.750 0.500
0.750 0.250 0.500
```


(12)
First-principles (PBE) data for a relaxed UNi6Pt crystal, as listed in Alexandria.

Size of the total moment (μB per cell): 0.0
SG: Pm-3
Energy of formation from the pure elements (eV per atom): -0.090

```
UNi6Pt
1.0
4.716 0.000 0.000
0.000 4.716 0.000
0.000 0.000 4.716
U Ni Pt
1 6 1
direct
0.000 0.000 0.000
0.000 0.500 0.254
0.000 0.500 0.746
0.254 0.000 0.500
0.500 0.254 0.000
0.500 0.746 0.000
0.746 0.000 0.500
0.500 0.500 0.500
```